(1)
{"formula": "DyEr2Tm2Lu2Ni2Te2", "functional": "PBE-GGA", "state": "relaxed", "lattice_angstrom": [[-1.919, 7.717, 4.749], [1.919, -7.717, 4.749], [1.919, 7.717, -4.749]], "species": ["Dy", "Er", "Er", "Tm", "Tm", "Lu", "Lu", "Ni", "Ni", "Te", "Te"], "fractional_positions": [[0.000, 0.000, 0.000], [0.061, 0.376, 0.686], [0.690, 0.376, 0.314], [0.447, 0.582, 0.866], [0.716, 0.582, 0.134], [0.082, 0.729, 0.353], [0.375, 0.729, 0.647], [0.305, 0.069, 0.236], [0.833, 0.069, 0.764], [0.338, 0.338, 0.000], [0.732, 0.232, 0.500]], "spacegroup": "No. 44", "rho_g_cm3": 9.196, "total_energy_ev_per_atom": -5.146, "crystal_system": "orthorhombic", "total_magnetization_mub_per_cell": 0.0}

(2)
{"formula": "PrTmAg2Ge2", "functional": "PBE-GGA", "state": "relaxed", "lattice_angstrom": [[4.525, 0.000, 0.000], [-2.262, 3.919, 0.000], [0.000, 0.000, 7.465]], "species": ["Pr", "Tm", "Ag", "Ag", "Ge", "Ge"], "fractional_positions": [[0.000, 0.000, 0.000], [0.000, 0.000, 0.503], [0.333, 0.667, 0.246], [0.667, 0.333, 0.699], [0.333, 0.667, 0.782], [0.667, 0.333, 0.302]], "spacegroup": "No. 156", "rho_g_cm3": 8.417, "total_energy_ev_per_atom": -4.626, "crystal_system": "trigonal", "total_magnetization_mub_per_cell": 0.0}